Record 1
## Y8PtS3 (GGA-PBE)

Data for a relaxed structure of Y8PtS3.

Unit cell a=7.7051 b=7.7051 c=12.7546 alpha=90.00 beta=90.00 gamma=120.00
With the nearest neighbours (Å) after each atom.
Space group P6_3mc (No. 186)
One atom of each set of equivalent atoms:
Y 0.0000 0.0000 0.0000 (multiplicity 2)  3 S 2.78
Y 0.0072 0.5036 0.0006 (multiplicity 6)  2 S 2.76, 1 Pt 2.80
Y 0.1591 0.3181 0.7451 (multiplicity 6)  2 S 2.73, 1 Pt 2.76
Y 0.3333 0.6667 0.2405 (multiplicity 2)  3 S 2.77
Pt 0.3333 0.6667 0.6290 (multiplicity 2)  6 Y 2.76-2.80
S 0.1692 0.3385 0.3731 (multiplicity 6)  6 Y 2.73-2.78

Results
E_tot ... -6.994 eV/atom
Density of states at the Fermi level ... 11.123 states/eV/f.u.
ΔE_f (raw) ... -1.150 eV per atom

***

Record 2
## Y4PtS3 (GGA-PBE)

Data for a relaxed structure of Y4PtS3.

Unit cell a=8.0635 b=11.3041 c=3.9164 alpha=90.00 beta=90.00 gamma=90.00
With the nearest neighbours (Å) after each atom.
Space group Cmmm (No. 65)
One atom of each set of equivalent atoms:
Y 0.0000 0.2487 0.0000 (multiplicity 4)  5 S 2.81, 1 Pt 2.84
Y 0.2490 0.5000 0.5000 (multiplicity 4)  2 Pt 2.80, 4 S 2.82-2.83
Pt 0.0000 0.5000 0.0000 (multiplicity 2)  6 Y 2.80-2.84
S 0.0000 0.0000 0.0000 (multiplicity 2)  6 Y 2.81-2.82
S 0.2500 0.2500 0.5000 (multiplicity 4)  6 Y 2.81-2.83

Results
E_tot ... -7.309 eV/atom
Density of states at the Fermi level ... 3.674 states/eV/f.u.
ΔE_f (raw) ... -1.774 eV per atom

***

Record 3
## YPtS (GGA-PBE)

Data for a relaxed structure of YPtS.

Unit cell a=4.3876 b=4.3876 c=24.2873 alpha=90.00 beta=90.00 gamma=120.00
With the nearest neighbours (Å) after each atom.
Space group R-3m (No. 166, hexagonal axes)
One atom of each set of equivalent atoms:
Y 0.0000 0.0000 0.0880 (multiplicity 6)  4 S 2.69-2.93
Pt 0.0000 0.0000 0.3335 (multiplicity 6)  3 Pt 2.53
S 0.0000 0.0000 0.2086 (multiplicity 6)  4 Y 2.69-2.93

Results
E_tot ... -6.898 eV/atom
ΔE_f (raw) ... -1.354 eV per atom

***

Record 4
## ZnPt2S2 (GGA-PBE)

Data for a relaxed structure of ZnPt2S2.

Unit cell a=4.3974 b=4.3974 c=10.8303 alpha=90.00 beta=90.00 gamma=90.00
With the nearest neighbours (Å) after each atom.
Space group I4/mmm (No. 139)
One atom of each set of equivalent atoms:
Zn 0.0000 0.0000 0.0000 (multiplicity 2)  8 Pt 3.49, 10 S 3.56-3.68
Pt 0.0000 0.5000 0.2500 (multiplicity 4)  4 S 2.40
S 0.0000 0.0000 0.3400 (multiplicity 4)  4 Pt 2.40

Results
E_tot ... -4.029 eV/atom
Density of states at the Fermi level ... 1.615 states/eV/f.u.
ΔE_f (raw) ... 0.293 eV per atom
Energy relative to the lowest polymorph listed for this composition ... 90 meV per atom

***

Record 5
## ZnPtS3 (GGA-PBE)

Data for a relaxed structure of ZnPtS3.

Unit cell a=4.7322 b=4.7322 c=4.7322 alpha=90.00 beta=90.00 gamma=90.00
With the nearest neighbours (Å) after each atom.
Space group Pm-3m (No. 221)
One atom of each set of equivalent atoms:
Zn 0.0000 0.0000 0.0000 (multiplicity 1)  12 S 3.35
Pt 0.5000 0.5000 0.5000 (multiplicity 1)  6 S 2.37
S 0.0000 0.5000 0.5000 (multiplicity 3)  2 Pt 2.37

Results
E_tot ... -3.366 eV/atom
Density of states at the Fermi level ... 6.584 states/eV/f.u.
ΔE_f (raw) ... 0.573 eV per atom
Energy relative to the lowest polymorph listed for this composition ... 0 meV per atom

***

Record 6
## ZnPt3S (GGA-PBE)

Data for a relaxed structure of ZnPt3S.

Unit cell a=4.6360 b=4.6360 c=4.6360 alpha=90.00 beta=90.00 gamma=90.00
With the nearest neighbours (Å) after each atom.
Space group Pm-3m (No. 221)
One atom of each set of equivalent atoms:
Zn 0.0000 0.0000 0.0000 (multiplicity 1)  6 Pt 2.32
Pt 0.0000 0.0000 0.5000 (multiplicity 3)  2 Zn 2.32
S 0.5000 0.5000 0.5000 (multiplicity 1)  12 Pt 3.28

Results
E_tot ... -3.592 eV/atom
Density of states at the Fermi level ... 6.272 states/eV/f.u.
ΔE_f (raw) ... 1.113 eV per atom
Energy relative to the lowest polymorph listed for this composition ... 788 meV per atom

***

Record 7
## ZnPt2S2 (GGA-PBE)

Data for a relaxed structure of ZnPt2S2.

Unit cell a=6.9722 b=6.9722 c=3.5237 alpha=90.00 beta=90.00 gamma=90.00
With the nearest neighbours (Å) after each atom.
Space group P4/mbm (No. 127)
One atom of each set of equivalent atoms:
Zn 0.0000 0.0000 0.0000 (multiplicity 2)  4 S 2.51
Pt 0.1366 0.3634 0.5000 (multiplicity 4)  2 S 2.37
S 0.2030 0.7030 0.0000 (multiplicity 4)  2 Pt 2.37, 2 Zn 2.51

Results
E_tot ... -4.119 eV/atom
Density of states at the Fermi level ... 1.436 states/eV/f.u.
ΔE_f (raw) ... 0.203 eV per atom
Energy relative to the lowest polymorph listed for this composition ... 0 meV per atom

***

Record 8
## ZnPt3S (GGA-PBE)

Data for a relaxed structure of ZnPt3S.

Unit cell a=4.5125 b=4.5125 c=4.5125 alpha=90.00 beta=90.00 gamma=90.00
With the nearest neighbours (Å) after each atom.
Space group Pm-3m (No. 221)
One atom of each set of equivalent atoms:
Zn 0.0000 0.0000 0.0000 (multiplicity 1)  12 Pt 3.19
Pt 0.0000 0.5000 0.5000 (multiplicity 3)  2 S 2.26
S 0.5000 0.5000 0.5000 (multiplicity 1)  6 Pt 2.26

Results
E_tot ... -4.379 eV/atom
Density of states at the Fermi level ... 2.167 states/eV/f.u.
ΔE_f (raw) ... 0.326 eV per atom
Energy relative to the lowest polymorph listed for this composition ... 0 meV per atom

***

Record 9
## Zn2Pt2S (GGA-PBE)

Data for a relaxed structure of Zn2Pt2S.

Unit cell a=7.4018 b=7.4018 c=2.8766 alpha=90.00 beta=90.00 gamma=90.00
With the nearest neighbours (Å) after each atom.
Space group P4/mbm (No. 127)
One atom of each set of equivalent atoms:
Zn 0.1346 0.3654 0.0000 (multiplicity 4)  6 Pt 2.56-2.64, 1 Zn 2.82
Pt 0.1629 0.6629 0.5000 (multiplicity 4)  6 Zn 2.56-2.64, 2 S 2.77
S 0.0000 0.0000 0.5000 (multiplicity 2)  4 Pt 2.77, 2 S 2.88

Results
E_tot ... -3.924 eV/atom
Density of states at the Fermi level ... 1.786 states/eV/f.u.
ΔE_f (raw) ... -0.172 eV per atom

***

Record 10
## ZrPtS3 (GGA-PBE)

Data for a relaxed structure of ZrPtS3.

Unit cell a=4.9358 b=4.9358 c=4.9358 alpha=90.00 beta=90.00 gamma=90.00
With the nearest neighbours (Å) after each atom.
Space group Pm-3m (No. 221)
One atom of each set of equivalent atoms:
Zr 0.0000 0.0000 0.0000 (multiplicity 1)  6 S 2.47
Pt 0.5000 0.5000 0.5000 (multiplicity 1)  12 S 3.49
S 0.0000 0.0000 0.5000 (multiplicity 3)  2 Zr 2.47

Results
E_tot ... -5.194 eV/atom
Density of states at the Fermi level ... 8.084 states/eV/f.u.
ΔE_f (raw) ... 0.200 eV per atom
Energy relative to the lowest polymorph listed for this composition ... 156 meV per atom

***

Record 11
## Zr2PtS (GGA-PBE)

Data for a relaxed structure of Zr2PtS.

Unit cell a=6.6365 b=6.6365 c=6.6365 alpha=90.00 beta=90.00 gamma=90.00
With the nearest neighbours (Å) after each atom.
Space group Fm-3m (No. 225)
One atom of each set of equivalent atoms:
Zr 0.2500 0.2500 0.2500 (multiplicity 8)  4 S 2.87, 4 Pt 2.87
Pt 0.0000 0.0000 0.0000 (multiplicity 4)  8 Zr 2.87
S 0.0000 0.0000 0.5000 (multiplicity 4)  8 Zr 2.87

Results
E_tot ... -7.663 eV/atom
Density of states at the Fermi level ... 3.939 states/eV/f.u.
ΔE_f (raw) ... -0.847 eV per atom

***

Record 12
## ZrPtS3 (GGA-PBE)

Data for a relaxed structure of ZrPtS3.

Unit cell a=4.6419 b=4.6419 c=4.6419 alpha=90.00 beta=90.00 gamma=90.00
With the nearest neighbours (Å) after each atom.
Space group Pm-3m (No. 221)
One atom of each set of equivalent atoms:
Zr 0.0000 0.0000 0.0000 (multiplicity 1)  12 S 3.28
Pt 0.5000 0.5000 0.5000 (multiplicity 1)  6 S 2.32
S 0.0000 0.5000 0.5000 (multiplicity 3)  2 Pt 2.32

Results
E_tot ... -5.350 eV/atom
Density of states at the Fermi level ... 4.158 states/eV/f.u.
ΔE_f (raw) ... 0.044 eV per atom
Energy relative to the lowest polymorph listed for this composition ... 0 meV per atom

***

Record 13
## ZrPt4S8 (GGA-PBE)

Data for a relaxed structure of ZrPt4S8.

Unit cell a=7.3602 b=7.3602 c=17.1212 alpha=90.00 beta=90.00 gamma=120.00
With the nearest neighbours (Å) after each atom.
Space group R-3m (No. 166, hexagonal axes)
One atom of each set of equivalent atoms:
Zr 0.0000 0.0000 0.0000 (multiplicity 3)  6 S 2.60
Pt 0.0000 0.0000 0.5000 (multiplicity 3)  6 S 2.53
Pt 0.0000 0.5000 0.5000 (multiplicity 9)  6 S 2.42-2.46
S 0.0000 0.0000 0.2393 (multiplicity 6)  3 Pt 2.46
S 0.0142 0.5071 0.7617 (multiplicity 18)  3 Pt 2.42-2.53, 1 Zr 2.60

Results
E_tot ... -5.433 eV/atom
Density of states at the Fermi level ... 11.194 states/eV/f.u.
ΔE_f (raw) ... -0.377 eV per atom

***

Record 14
## SbPt (GGA-PBE)

Data for a relaxed structure of SbPt.

Unit cell a=8.0443 b=8.0443 c=8.0443 alpha=90.00 beta=90.00 gamma=90.00
With the nearest neighbours (Å) after each atom.
Space group I-43m (No. 217)
One atom of each set of equivalent atoms:
Sb 0.1879 0.1879 0.1879 (multiplicity 8)  4 Pt 2.51-2.65
Pt 0.1319 0.1319 0.8681 (multiplicity 8)  4 Sb 2.51-2.65

Results
E_tot ... -5.213 eV/atom
Density of states at the Fermi level ... 0.825 states/eV/f.u.
ΔE_f (raw) ... -0.132 eV per atom

***

Record 15
## SbPt2 (GGA-PBE)

Data for a relaxed structure of SbPt2.

Unit cell a=3.9268 b=3.9268 c=3.9093 alpha=90.00 beta=90.00 gamma=90.00
With the nearest neighbours (Å) after each atom.
Space group P4/mmm (No. 123)
One atom of each set of equivalent atoms:
Sb 0.0000 0.0000 0.0000 (multiplicity 1)  8 Pt 2.77
Pt 0.0000 0.5000 0.5000 (multiplicity 2)  4 Sb 2.77, 4 Pt 2.78

Results
E_tot ... -5.631 eV/atom
Density of states at the Fermi level ... 1.708 states/eV/f.u.
ΔE_f (raw) ... -0.229 eV per atom

***

Record 16
## SbPt3 (GGA-PBE)

Data for a relaxed structure of SbPt3.

Unit cell a=5.5185 b=7.0285 c=3.5836 alpha=90.00 beta=90.00 gamma=90.00
With the nearest neighbours (Å) after each atom.
Space group Cmmm (No. 65)
One atom of each set of equivalent atoms:
Sb 0.0000 0.0000 0.0000 (multiplicity 2)  10 Pt 2.76-2.86
Pt 0.0000 0.5000 0.0000 (multiplicity 2)  2 Sb 2.76, 8 Pt 2.86
Pt 0.2500 0.2500 0.5000 (multiplicity 4)  6 Pt 2.76-2.86, 4 Sb 2.86

Results
E_tot ... -5.732 eV/atom
Density of states at the Fermi level ... 2.642 states/eV/f.u.
ΔE_f (raw) ... -0.171 eV per atom

***

Record 17
## Sb2Pt (GGA-PBE)

Data for a relaxed structure of Sb2Pt.

Unit cell a=13.0138 b=3.9307 c=6.4126 alpha=90.00 beta=118.84 gamma=90.00
With the nearest neighbours (Å) after each atom.
Space group C2/m (No. 12)
One atom of each set of equivalent atoms:
Sb 0.0381 0.0000 0.2716 (multiplicity 4)  2 Pt 2.74
Sb 0.2322 0.5000 0.2007 (multiplicity 4)  3 Pt 2.70-2.74
Pt 0.1064 0.5000 0.7213 (multiplicity 4)  5 Sb 2.70-2.74, 1 Pt 2.85

Results
E_tot ... -5.030 eV/atom
Density of states at the Fermi level ... 1.110 states/eV/f.u.
ΔE_f (raw) ... -0.268 eV per atom

***

Record 18
## SbPt (GGA-PBE)

Data for a relaxed structure of SbPt.

Unit cell a=9.5618 b=3.8208 c=7.5254 alpha=90.00 beta=101.45 gamma=90.00
With the nearest neighbours (Å) after each atom.
Space group Cm (No. 8)
One atom of each set of equivalent atoms:
Sb 0.0000 0.0000 0.0000 (multiplicity 2)  6 Pt 2.72-2.82
Sb 0.0874 0.0000 0.5674 (multiplicity 2)  4 Pt 2.70-2.77, 1 Sb 3.02
Sb 0.2981 0.5000 0.3184 (multiplicity 2)  2 Pt 2.68
Pt 0.2395 0.5000 0.7742 (multiplicity 2)  3 Sb 2.70-2.72, 5 Pt 2.77-2.89
Pt 0.2997 0.0000 0.0682 (multiplicity 2)  5 Sb 2.68-2.82, 2 Pt 2.89
Pt 0.4446 0.0000 0.7292 (multiplicity 2)  4 Sb 2.77, 3 Pt 2.77-2.81

Results
E_tot ... -5.296 eV/atom
Density of states at the Fermi level ... 0.957 states/eV/f.u.
ΔE_f (raw) ... -0.214 eV per atom

***

Record 19
## Sb2Pt3 (GGA-PBE)

Data for a relaxed structure of Sb2Pt3.

Unit cell a=6.5796 b=11.1133 c=5.3919 alpha=90.00 beta=90.00 gamma=90.00
With the nearest neighbours (Å) after each atom.
Space group Ibam (No. 72)
One atom of each set of equivalent atoms:
Sb 0.2391 0.1554 0.0000 (multiplicity 8)  6 Pt 2.62-2.88
Pt 0.0000 0.0000 0.2500 (multiplicity 4)  2 Pt 2.70, 4 Sb 2.70
Pt 0.1289 0.3909 0.0000 (multiplicity 8)  4 Sb 2.62-2.88

Results
E_tot ... -5.654 eV/atom
Density of states at the Fermi level ... 1.670 states/eV/f.u.
ΔE_f (raw) ... -0.381 eV per atom
Energy relative to the lowest polymorph listed for this composition ... 0 meV per atom

***

Record 20
## SbPt2 (GGA-PBE)

Data for a relaxed structure of SbPt2.

Unit cell a=3.8241 b=8.0521 c=3.5894 alpha=90.00 beta=90.00 gamma=90.00
With the nearest neighbours (Å) after each atom.
Space group Pnnm (No. 58)
One atom of each set of equivalent atoms:
Sb 0.0000 0.0000 0.0000 (multiplicity 2)  6 Pt 2.67-2.74
Pt 0.0982 0.3287 0.0000 (multiplicity 4)  3 Sb 2.67-2.74, 5 Pt 2.86-2.91

Results
E_tot ... -5.607 eV/atom
Density of states at the Fermi level ... 1.040 states/eV/f.u.
ΔE_f (raw) ... -0.206 eV per atom